DFT (PBE-GGA) results for a geometry-optimized Fe2WAu structure.

Lattice parameters (Å, degrees): 2.864 2.864 6.952 90.00 90.00 90.00
Each line ends with the local moment (μB).
Fractional positions:
W1 0.000 0.000 0.464  -0.14
Fe1 0.500 0.500 0.232  1.77
Fe2 0.000 0.000 0.036  2.76
Au1 0.500 0.500 0.768  0.01

Summary:
M_tot: 4.38 Bohr magnetons per cell
offset from the most stable computed form: 0.000 eV/atom
DOS(E_F): 0.726 states/eV per atom
SG: P4mm (99)
E_form: 20.2 kJ per mole of atoms

***

DFT (PBE-GGA) results for a geometry-optimized FeW2Au structure.

Lattice parameters (Å, degrees): 4.386 2.697 5.297 81.15 90.00 90.00
Each line ends with the local moment (μB).
Fractional positions:
Au1 0.000 0.637 0.502  -0.01
W1 0.500 0.223 0.246  -0.04
W2 0.000 0.979 0.977  -0.07
Fe1 0.500 0.661 0.776  2.20

Summary:
M_tot: 2.03 Bohr magnetons per cell
offset from the most stable computed form: 0.096 eV/atom
DOS(E_F): 0.788 states/eV per atom
SG: Pm (6)
E_form: 30.8 kJ per mole of atoms

***

DFT (PBE-GGA) results for a geometry-optimized Fe2WAu structure.

Lattice parameters (Å, degrees): 6.741 6.741 5.475 52.00 52.00 90.00
Each line ends with the local moment (μB).
Fractional positions:
Au1 0.000 0.000 0.000  -0.04
Au2 0.750 0.250 0.500  -0.04
Fe1 0.875 0.847 0.750  1.30
Fe2 0.375 0.403 0.750  1.29
Fe3 0.597 0.125 0.250  1.30
Fe4 0.153 0.625 0.250  1.32
W1 0.250 0.750 0.500  -0.56
W2 0.500 0.500 0.000  -0.56

Summary:
M_tot: 3.86 Bohr magnetons per cell
offset from the most stable computed form: 0.573 eV/atom
DOS(E_F): 1.123 states/eV per atom
SG: I-42d (122)
E_form: 75.5 kJ per mole of atoms